Material: Ti2SnB
Method: DFT, PBE
State: relaxed

Calculated values
The calculation puts the distance to the lowest polymorph of the same formula at 0.00 eV per formula unit. For the calculated density, the calculation gives 5.755 g cm⁻³.

Cell lengths 3.263, 3.263, 7.299 Å; angles 77.09, 77.09, 60.00 degrees
Fractional coordinates of all 4 atoms:
B1 0.000 0.000 0.000
Sn1 0.500 0.500 0.500
Ti1 0.278 0.278 0.165
Ti2 0.722 0.722 0.835